A plane-wave DFT calculation with PBE was carried out for a relaxed HfGeIrRu crystal.

```
HfGeIrRu
1.0
4.2249 0.0000 0.0000
0.0000 4.2249 0.0000
0.0000 0.0000 7.0515
Hf Ge Ir Ru
2 2 2 2
Direct
0.0000 0.0000 0.0000
0.5000 0.5000 0.5000
0.0000 0.0000 0.5000
0.5000 0.5000 0.0000
0.0000 0.5000 0.7500
0.5000 0.0000 0.2500
0.0000 0.5000 0.2500
0.5000 0.0000 0.7500
```

Summary:
offset from the most stable computed form: 0.0 meV per atom
E_form: -0.614 eV/atom
density of states at the Fermi level: 0.29 states/eV per atom